Version one
A plane-wave DFT calculation with PBEsol was carried out for a relaxed structure of TePtRh2.

## Properties
Fermi-level density of states = 3.19 states/eV per cell
Density = 13.7 g cm⁻³

a = 3.5002 Å, b = 4.5644 Å, c = 4.5649 Å
α = 106.97°, β = 90.00°, γ = 112.55°
Sites, in units of the cell vectors:
1 Te 0.5000 0.0000 0.0000
2 Pt 0.0000 0.0000 0.5000
3 Rh 0.7545 0.5090 0.7469
4 Rh 0.2455 0.4910 0.2531


Version two
A plane-wave DFT calculation with PBEsol was carried out for a relaxed structure of TePtRh2.

## Properties
Fermi-level density of states = 4.55 states/eV per cell
Density = 13.9 g cm⁻³

a = 4.4738 Å, b = 4.4738 Å, c = 4.4738 Å
α = 60.00°, β = 60.00°, γ = 60.00°
Sites, in units of the cell vectors:
1 Rh 0.7500 0.7500 0.7500
2 Rh 0.0000 0.0000 0.0000
3 Pt 0.5000 0.5000 0.5000
4 Te 0.2500 0.2500 0.2500


The structure with the most favorable energy is version one; the runner-up is 94 meV/atom above it.